[1]
# PmEr4Mg2 | the Alexandria database | GGA-PBE | optimized geometry
# * volume: 29.3 A^3/atom
# * total magnetic moment: 0.0 μB per formula unit
# * ΔE to the lowest computed polymorph: 0.00 kJ per mole of atoms
data_PmEr4Mg2
_symmetry_space_group_name_H-M 'P 1'
_symmetry_Int_Tables_number 1
_symmetry_space_group_name_Hall 'P 1'
_cell_length_a 11.959
_cell_length_b 11.959
_cell_length_c 3.453
_cell_angle_alpha 90.00
_cell_angle_beta 90.00
_cell_angle_gamma 155.48
loop_
_atom_site_label
_atom_site_type_symbol
_atom_site_fract_x
_atom_site_fract_y
_atom_site_fract_z
Pm1 Pm 0.000 0.000 0.000
Er1 Er 0.154 0.846 0.000
Er2 Er 0.425 0.575 0.500
Er3 Er 0.575 0.425 0.500
Er4 Er 0.846 0.154 0.000
Mg1 Mg 0.285 0.715 0.500
Mg2 Mg 0.715 0.285 0.500

[2]
# ReTe2Rh | the Alexandria database | GGA-PBE | optimized geometry
# * energy relative to the elements, uncorrected: 0.218 eV per atom
# * volume: 22.0 A^3/atom
# * total magnetic moment: 0.0 μB per formula unit
# * ΔE to the lowest computed polymorph: 3.86 kJ per mole of atoms
data_ReTe2Rh
_symmetry_space_group_name_H-M 'P 1'
_symmetry_Int_Tables_number 1
_symmetry_space_group_name_Hall 'P 1'
_cell_length_a 3.271
_cell_length_b 3.271
_cell_length_c 8.228
_cell_angle_alpha 90.00
_cell_angle_beta 90.00
_cell_angle_gamma 90.00
loop_
_atom_site_label
_atom_site_type_symbol
_atom_site_fract_x
_atom_site_fract_y
_atom_site_fract_z
Re1 Re 0.000 0.000 0.000
Te1 Te 0.000 0.000 0.379
Te2 Te 0.500 0.500 0.820
Rh1 Rh 0.500 0.500 0.218

[3]
# PrPuZnPt | the Alexandria database | GGA-PBE | optimized geometry
# * volume: 23.5 A^3/atom
# * total magnetic moment: 5.7 μB per formula unit
# * DFT total energy: -7.10 eV/atom
data_PrPuZnPt
_symmetry_space_group_name_H-M 'P 1'
_symmetry_Int_Tables_number 1
_symmetry_space_group_name_Hall 'P 1'
_cell_length_a 5.105
_cell_length_b 5.105
_cell_length_c 5.105
_cell_angle_alpha 60.00
_cell_angle_beta 60.00
_cell_angle_gamma 60.00
loop_
_atom_site_label
_atom_site_type_symbol
_atom_site_fract_x
_atom_site_fract_y
_atom_site_fract_z
Pr1 Pr 0.000 0.000 0.000
Pu1 Pu 0.500 0.500 0.500
Zn1 Zn 0.750 0.750 0.750
Pt1 Pt 0.250 0.250 0.250